Entry 1:
Compound: Ta4Nb5Au2
Source: the Alexandria database
Functional: GGA-PBE
Structure: relaxed

Cell lengths 2.953, 7.832, 8.964 Å; angles 97.53, 93.08, 91.73 degrees
Space group P-1 (No. 2)
Asymmetric unit:
Ta (0.000, 0.239, 0.132)
Ta (0.014, 0.711, 0.328)
Nb (0.305, 0.081, 0.392)
Nb (0.376, 0.597, 0.621)
Nb (0.500, 0.500, 0.000)
Au (0.442, 0.106, 0.876)

Values from the calculation:
ΔH_f (0 K) (eV/atom): 0.130

=====

Entry 2:
Compound: Ta2Nb2Au
Source: the Alexandria database
Functional: GGA-PBE
Structure: relaxed

Cell lengths 7.256, 7.256, 3.629 Å; angles 90.00, 90.00, 90.00 degrees
Space group P4/mbm (No. 127)
Asymmetric unit:
Ta (0.173, 0.327, 0.000)
Nb (0.128, 0.628, 0.500)
Au (0.000, 0.000, 0.500)

Values from the calculation:
ΔH_f (0 K) (eV/atom): 0.386

=====

Entry 3:
Compound: Ta3Nb2Au2
Source: the Alexandria database
Functional: GGA-PBE
Structure: relaxed

Cell lengths 2.808, 7.178, 7.288 Å; angles 118.45, 93.77, 98.97 degrees
Space group P-1 (No. 2)
Asymmetric unit:
Ta (0.000, 0.000, 0.000)
Ta (0.267, 0.729, 0.149)
Nb (0.145, 0.854, 0.574)
Au (0.474, 0.568, 0.723)

Values from the calculation:
ΔH_f (0 K) (eV/atom): -0.032